No. 1
This record from Alexandria describes an optimized crystal structure of Cs2AuS. The functional is PBE-GGA.

Calculated values
Crystal system = trigonal
V = 58.35 A^3/atom
Calculated total energy = -9.94 eV/cell
Distance to the lowest polymorph of the same formula = 13.6 kJ/mol of atoms

a = 5.049 Å, b = 5.049 Å, c = 10.966 Å
α = 76.69°, β = 76.69°, γ = 60.00°
Each line ends with the local moment (μB).
Positions (direct):
Cs  0.108  0.108  0.675  0.02
Cs  0.892  0.892  0.325  0.02
S  0.500  0.500  0.500  0.28
Au  0.000  0.000  0.000  0.11


No. 2
This record from Alexandria describes an optimized crystal structure of Tb3HoTe6. The functional is PBE-GGA.

Calculated values
Crystal system = trigonal
V = 36.79 A^3/atom
Calculated total energy = -101.49 eV/cell
Distance to the lowest polymorph of the same formula = 0.7 kJ/mol of atoms

a = 9.029 Å, b = 9.029 Å, c = 9.029 Å
α = 90.51°, β = 90.51°, γ = 90.51°
Positions (direct):
Tb  0.425  0.918  0.757
Tb  0.918  0.757  0.425
Tb  0.243  0.575  0.082
Tb  0.757  0.425  0.918
Tb  0.082  0.243  0.575
Tb  0.575  0.082  0.243
Ho  0.000  0.000  0.000
Ho  0.500  0.500  0.500
Te  0.314  0.913  0.091
Te  0.087  0.909  0.686
Te  0.589  0.820  0.461
Te  0.909  0.686  0.087
Te  0.461  0.589  0.820
Te  0.180  0.539  0.411
Te  0.820  0.461  0.589
Te  0.539  0.411  0.180
Te  0.091  0.314  0.913
Te  0.411  0.180  0.539
Te  0.913  0.091  0.314
Te  0.686  0.087  0.909


No. 3
This record from Alexandria describes an optimized crystal structure of TiCr4. The functional is PBE-GGA.

Calculated values
Crystal system = cubic
V = 17.34 A^3/atom
Calculated total energy = -39.20 eV/cell
Formation energy from the elements = 138.73 kJ per mole of atoms

a = 4.426 Å, b = 4.426 Å, c = 4.426 Å
α = 90.00°, β = 90.00°, γ = 90.00°
Each line ends with the local moment (μB).
Positions (direct):
Cr  0.000  0.000  0.000  3.51
Cr  0.500  0.000  0.500  -2.56
Cr  0.000  0.500  0.500  -2.56
Cr  0.500  0.500  0.000  -2.56
Ti  0.500  0.500  0.500  0.31


No. 4
This record from Alexandria describes an optimized crystal structure of Cs2NpAsO6. The functional is PBE-GGA.

Calculated values
Crystal system = tetragonal
V = 19.07 A^3/atom
Calculated total energy = -68.07 eV/cell

a = 5.842 Å, b = 5.842 Å, c = 6.950 Å
α = 65.15°, β = 65.15°, γ = 90.00°
Each line ends with the local moment (μB).
Positions (direct):
Cs  0.750  0.250  0.500  0.00
Cs  0.250  0.750  0.500  0.00
Np  0.000  0.000  0.000  -0.08
As  0.500  0.500  0.000  0.00
O  0.169  0.169  0.661  0.00
O  0.741  0.741  0.000  0.00
O  0.259  0.741  0.000  0.00
O  0.741  0.259  0.000  0.00
O  0.259  0.259  0.000  0.00
O  0.831  0.831  0.339  0.00


No. 5
This record from Alexandria describes an optimized crystal structure of BaPbAu6. The functional is PBE-GGA.

Calculated values
Crystal system = cubic
V = 23.37 A^3/atom
Calculated total energy = -26.14 eV/cell
Formation energy from the elements = -10.16 kJ per mole of atoms

a = 5.718 Å, b = 5.718 Å, c = 5.718 Å
α = 90.00°, β = 90.00°, γ = 90.00°
Positions (direct):
Ba  0.500  0.500  0.500
Pb  0.000  0.000  0.000
Au  0.500  0.754  0.000
Au  0.754  0.000  0.500
Au  0.000  0.500  0.246
Au  0.246  0.000  0.500
Au  0.500  0.246  0.000
Au  0.000  0.500  0.754


No. 6
This record from Alexandria describes an optimized crystal structure of Ca2MnCu2. The functional is PBE-GGA.

Calculated values
Crystal system = tetragonal
V = 21.71 A^3/atom
Calculated total energy = -41.72 eV/cell
Formation energy from the elements = 9.74 kJ per mole of atoms

a = 7.147 Å, b = 7.147 Å, c = 4.251 Å
α = 90.00°, β = 90.00°, γ = 90.00°
Each line ends with the local moment (μB).
Positions (direct):
Ca  0.178  0.678  0.500  -0.02
Ca  0.678  0.822  0.500  -0.02
Ca  0.822  0.322  0.500  -0.02
Ca  0.322  0.178  0.500  -0.02
Mn  0.000  0.000  0.000  3.92
Mn  0.500  0.500  0.000  3.93
Cu  0.376  0.876  0.000  0.04
Cu  0.876  0.624  0.000  0.04
Cu  0.624  0.124  0.000  0.04
Cu  0.124  0.376  0.000  0.04